[1]
LiRe2Os | GGA-PBE | optimized geometry

Cell: 2.7270 2.7270 7.6158 Å, 90.00 90.00 90.00°
Space group P4/mmm (No. 123)
Symmetry-distinct sites (fractional):
1 Li 0.0000 0.0000 0.0000 (multiplicity 1)
2 Re 0.5000 0.5000 0.2473 (multiplicity 2)
3 Os 0.0000 0.0000 0.5000 (multiplicity 1)

Output
D(E_F) ... 2.4 states/eV per cell
ΔH_f (0 K) ... 0.3824 eV per atom
Spin magnetization ... 0.0 μB per cell
Total DFT energy (no corrections) ... -9.1275 eV/atom

[2]
LiReOs2 | GGA-PBE | optimized geometry

Cell: 6.0366 6.0366 6.0366 Å, 90.00 90.00 90.00°
Space group Fm-3m (No. 225)
Symmetry-distinct sites (fractional):
1 Li 0.0000 0.0000 0.0000 (multiplicity 4)
2 Re 0.0000 0.0000 0.5000 (multiplicity 4)
3 Os 0.2500 0.2500 0.2500 (multiplicity 8)

Output
D(E_F) ... 5.0 states/eV per cell
ΔH_f (0 K) ... 0.1167 eV per atom
Spin magnetization ... 0.0 μB per cell
Total DFT energy (no corrections) ... -9.0887 eV/atom
Polymorph energy (0 for the lowest one) ... 0.000 eV per atom

[3]
LiRe2Os | GGA-PBE | optimized geometry

Cell: 3.0295 4.2597 8.6237 Å, 90.00 90.00 90.00°
Space group Immm (No. 71)
Symmetry-distinct sites (fractional):
1 Li 0.0000 0.0000 0.0000 (multiplicity 2)
2 Re 0.0000 0.5000 0.2490 (multiplicity 4)
3 Os 0.0000 0.0000 0.5000 (multiplicity 2)

Output
D(E_F) ... 5.0 states/eV per cell
ΔH_f (0 K) ... 0.2050 eV per atom
Spin magnetization ... 0.0 μB per cell
Total DFT energy (no corrections) ... -9.3049 eV/atom

[4]
Li2Re2Os | GGA-PBE | optimized geometry

Cell: 3.6656 3.6656 9.5641 Å, 90.00 90.00 90.00°
Space group I4/mmm (No. 139)
Symmetry-distinct sites (fractional):
1 Li 0.0000 0.0000 0.0829 (multiplicity 4)
2 Re 0.0000 0.5000 0.2500 (multiplicity 4)
3 Os 0.0000 0.0000 0.5000 (multiplicity 2)

Output
D(E_F) ... 7.7 states/eV per cell
ΔH_f (0 K) ... 0.8404 eV per atom
Spin magnetization ... 0.1 μB per cell
Total DFT energy (no corrections) ... -7.1503 eV/atom
Polymorph energy (0 for the lowest one) ... 0.200 eV per atom

[5]
LiRe2Os | GGA-PBE | optimized geometry

Cell: 3.0238 3.0238 5.9026 Å, 90.00 90.00 90.00°
Space group P4/mmm (No. 123)
Symmetry-distinct sites (fractional):
1 Li 0.0000 0.0000 0.0000 (multiplicity 1)
2 Re 0.5000 0.5000 0.2172 (multiplicity 2)
3 Os 0.0000 0.0000 0.5000 (multiplicity 1)

Output
D(E_F) ... 2.6 states/eV per cell
ΔH_f (0 K) ... 0.4372 eV per atom
Spin magnetization ... 0.0 μB per cell
Total DFT energy (no corrections) ... -9.0727 eV/atom

[6]
LiReOs2 | GGA-PBE | optimized geometry

Cell: 7.3183 7.3183 5.0468 Å, 90.00 90.00 90.00°
Space group I-42d (No. 122)
Symmetry-distinct sites (fractional):
1 Li 0.0000 0.0000 0.0000 (multiplicity 4)
2 Re 0.0000 0.0000 0.5000 (multiplicity 4)
3 Os 0.1991 0.7500 0.6250 (multiplicity 8)

Output
D(E_F) ... 4.1 states/eV per cell
ΔH_f (0 K) ... 0.8247 eV per atom
Spin magnetization ... 0.0 μB per cell
Total DFT energy (no corrections) ... -8.3807 eV/atom
Polymorph energy (0 for the lowest one) ... 0.708 eV per atom

[7]
LiRe2Os | GGA-PBE | optimized geometry

Cell: 3.0475 3.0475 5.8472 Å, 90.00 90.00 90.00°
Space group P4mm (No. 99)
Symmetry-distinct sites (fractional):
1 Li 0.0000 0.0000 0.0000 (multiplicity 1)
2 Re 0.0000 0.0000 0.5023 (multiplicity 1)
3 Re 0.5000 0.5000 0.7659 (multiplicity 1)
4 Os 0.5000 0.5000 0.2161 (multiplicity 1)

Output
D(E_F) ... 2.8 states/eV per cell
ΔH_f (0 K) ... 0.2899 eV per atom
Spin magnetization ... 0.0 μB per cell
Total DFT energy (no corrections) ... -9.2200 eV/atom

[8]
LiRe2Os | GGA-PBE | optimized geometry

Cell: 2.7111 4.3131 4.8013 Å, 90.00 90.00 90.00°
Space group Pmm2 (No. 25)
Symmetry-distinct sites (fractional):
1 Li 0.0000 0.0000 0.0000 (multiplicity 1)
2 Re 0.5000 0.0000 0.4937 (multiplicity 1)
3 Re 0.5000 0.5000 0.1694 (multiplicity 1)
4 Os 0.0000 0.5000 0.6885 (multiplicity 1)

Output
D(E_F) ... 2.1 states/eV per cell
ΔH_f (0 K) ... 0.1873 eV per atom
Spin magnetization ... 0.0 μB per cell
Total DFT energy (no corrections) ... -9.3226 eV/atom

Q: Number 8 is which compound?
A: LiRe2Os